{"formula": "TlCo2Re", "functional": "GGA-PBE", "state": "optimized geometry", "formation_energy_ev_per_atom": 0.631, "crystal_system": "orthorhombic", "rho_kg_m3": 14781, "dos_ef_per_ev_atom": 1.316, "lattice": [[4.5634, 0.0640, -0.0065], [-0.9991, 4.4532, -0.0065], [0.0023, 0.0030, 2.8021]], "species": ["Co", "Co", "Re", "Tl"], "fractional_positions": [[0.0000, 0.0000, 0.0000], [0.5000, 0.5000, 0.0000], [0.5000, 0.0000, 0.5000], [0.0000, 0.5000, 0.5000]]}

***

{"formula": "Ba2NaTiSi", "functional": "GGA-PBE", "state": "optimized geometry", "crystal_system": "tetragonal", "rho_kg_m3": 3104, "dos_ef_per_ev_atom": 0.743, "formation_energy_uncorrected_ev_per_atom": 0.35, "lattice": [[6.3422, 0.0000, 0.0000], [0.0000, 4.9686, 0.0000], [0.0000, 0.0000, 6.3422]], "species": ["Na", "Si", "Ba", "Ba", "Ti"], "fractional_positions": [[0.5000, 0.5000, 0.5000], [0.0000, 0.5000, 0.0000], [0.0000, 0.0000, 0.5000], [0.5000, 0.0000, 0.0000], [0.0000, 0.0000, 0.0000]]}

***

{"formula": "MgTcSnP", "functional": "GGA-PBE", "state": "optimized geometry", "formation_energy_ev_per_atom": -0.198, "crystal_system": "triclinic", "rho_kg_m3": 5210, "dos_ef_per_ev_atom": 0.460, "lattice": [[3.8251, -0.0002, 0.0001], [-1.9120, 3.3131, 0.0004], [-0.0186, -0.0361, 6.8409]], "species": ["Mg", "Tc", "Sn", "P"], "fractional_positions": [[0.6607, 0.4918, 0.6923], [0.3307, 0.8286, 0.9914], [0.6691, 0.5004, 0.2776], [0.9967, 0.1612, 0.9185]]}

***

{"formula": "ScBe2TlAs", "functional": "GGA-PBE", "state": "optimized geometry", "formation_energy_ev_per_atom": 0.628, "crystal_system": "tetragonal", "rho_kg_m3": 5244, "dos_ef_per_ev_atom": 0.747, "lattice": [[-2.8955, 3.0633, -0.6573], [-1.3385, -2.3989, -5.2837], [-2.9827, -2.4213, 1.8549]], "species": ["Sc", "Be", "Be", "Tl", "As"], "fractional_positions": [[0.5000, 0.5000, 0.5000], [0.0000, 0.0000, 0.5000], [0.5000, 0.0000, 0.0000], [0.0000, 0.5000, 0.0000], [0.0000, 0.0000, 0.0000]]}

***

{"formula": "DyYPt2", "functional": "GGA-PBE", "state": "optimized geometry", "formation_energy_ev_per_atom": -1.211, "crystal_system": "cubic", "rho_kg_m3": 12418, "dos_ef_per_ev_atom": 0.699, "lattice": [[-4.5068, -1.3669, 1.5258], [-0.4794, -3.2712, 3.6847], [-1.6707, 1.4773, 4.4197]], "species": ["Y", "Pt", "Pt", "Dy"], "fractional_positions": [[0.5000, 0.5000, 0.5000], [0.2500, 0.2500, 0.2500], [0.7500, 0.7500, 0.7500], [0.0000, 0.0000, 0.0000]]}

***

{"formula": "NaLi4Bi5", "functional": "GGA-PBE", "state": "optimized geometry", "formation_energy_ev_per_atom": -0.370, "crystal_system": "tetragonal", "rho_kg_m3": 7337, "dos_ef_per_ev_atom": 0.324, "lattice": [[-1.0541, -3.2659, -0.1712], [3.2403, -1.0673, 0.4093], [-2.7030, -0.2190, 20.8264]], "species": ["Na", "Li", "Li", "Li", "Li", "Bi", "Bi", "Bi", "Bi", "Bi"], "fractional_positions": [[0.0000, 0.0000, 0.0000], [0.0000, 0.0000, 0.2105], [0.0000, 0.0000, 0.4039], [0.0000, 0.0000, 0.5961], [0.0000, 0.0000, 0.7895], [0.5000, 0.5000, 0.1170], [0.5000, 0.5000, 0.3083], [0.5000, 0.5000, 0.5000], [0.5000, 0.5000, 0.6917], [0.5000, 0.5000, 0.8830]]}